The following is a DFT calculation (GGA-PBE) of a relaxed structure of PmGe2Rh5Pb.

Cell: 4.0458 4.0458 11.1616 Å, 90.00 90.00 90.00°
Last column: nearest neighbours and their distance in Å.
Space group P4/mmm (No. 123)
Asymmetric unit:
Pm 0.0000 0.0000 0.0000 [1 per cell]  4 Rh 2.86
Ge 0.5000 0.5000 0.2137 [2 per cell]  5 Rh 2.39-2.42
Rh 0.0000 0.5000 0.3324 [4 per cell]  2 Ge 2.42
Rh 0.5000 0.5000 0.0000 [1 per cell]  2 Ge 2.39
Pb 0.0000 0.0000 0.5000 [1 per cell]  8 Rh 2.76

Properties
Size of the total moment, μB per formula unit: 0.000
Final energy, eV per cell: -57.10

The following is a DFT calculation (GGA-PBE) of a relaxed structure of Pm4GePbSe2.

Cell: 7.4940 4.2859 7.5189 Å, 90.00 109.18 90.00°
Last column: nearest neighbours and their distance in Å.
Space group P2/m (No. 10)
Asymmetric unit:
Pm 0.2443 0.0000 0.2370 [2 per cell]  3 Se 3.00-3.11, 1 Ge 3.01, 2 Pb 3.11
Pm 0.2545 0.5000 0.7615 [2 per cell]  2 Ge 3.00, 3 Se 3.02-3.10, 1 Pb 3.10
Ge 0.5000 0.0000 0.0000 [1 per cell]  6 Pm 3.00-3.01
Pb 0.5000 0.5000 0.5000 [1 per cell]  6 Pm 3.10-3.11
Se 0.0000 0.0000 0.5000 [1 per cell]  6 Pm 3.10-3.11
Se 0.0000 0.5000 0.0000 [1 per cell]  6 Pm 3.00-3.02

Properties
Size of the total moment, μB per formula unit: 0.000
Formation energy (no corrections), eV per atom: -1.275

The following is a DFT calculation (GGA-PBE) of a relaxed structure of Pm6Ge2PbSe3.

Cell: 18.7457 4.2735 8.6494 Å, 90.00 103.40 90.00°
Last column: nearest neighbours and their distance in Å.
Space group C2/m (No. 12)
Asymmetric unit:
Pm 0.0032 0.0000 0.2629 [4 per cell]  3 Se 2.97-3.08, 1 Ge 2.99, 2 Pb 3.11
Pm 0.1700 0.5000 0.5774 [4 per cell]  3 Ge 2.97-2.99, 3 Se 3.08-3.10
Pm 0.1713 0.5000 0.0955 [4 per cell]  3 Se 2.97-3.11, 2 Ge 2.99, 1 Pb 3.12
Ge 0.1670 0.0000 0.3344 [4 per cell]  6 Pm 2.97-2.99
Pb 0.0000 0.5000 0.0000 [2 per cell]  6 Pm 3.11-3.12
Se 0.0000 0.5000 0.5000 [2 per cell]  6 Pm 2.97-3.10
Se 0.1657 0.0000 0.8321 [4 per cell]  6 Pm 2.97-3.11

Properties
Size of the total moment, μB per formula unit: 0.000
Formation energy (no corrections), eV per atom: -1.321

The following is a DFT calculation (GGA-PBE) of a relaxed structure of SrPmGePb.

Cell: 7.7897 7.7897 7.7897 Å, 90.00 90.00 90.00°
Last column: nearest neighbours and their distance in Å.
Space group F-43m (No. 216)
Asymmetric unit:
Sr 0.0000 0.0000 0.0000 [4 per cell]  4 Pb 3.37, 4 Ge 3.37
Pm 0.0000 0.0000 0.5000 [4 per cell]  4 Ge 3.37, 4 Pb 3.37
Ge 0.2500 0.2500 0.7500 [4 per cell]  4 Pm 3.37, 4 Sr 3.37
Pb 0.2500 0.2500 0.2500 [4 per cell]  4 Pm 3.37, 4 Sr 3.37

Properties
Size of the total moment, μB per formula unit: 0.000
Final energy, eV per cell: -65.49

The following is a DFT calculation (GGA-PBE) of a relaxed structure of Pm6GeTe3Pb2.

Cell: 19.5431 4.4519 9.0041 Å, 90.00 103.52 90.00°
Last column: nearest neighbours and their distance in Å.
Space group C2/m (No. 12)
Asymmetric unit:
Pm 0.0004 0.0000 0.2291 [4 per cell]  2 Ge 3.03, 1 Pb 3.16, 3 Te 3.22-3.30
Pm 0.1580 0.5000 0.0813 [4 per cell]  1 Ge 3.00, 2 Pb 3.15, 3 Te 3.18-3.30
Pm 0.1669 0.5000 0.5805 [4 per cell]  3 Pb 3.15-3.17, 3 Te 3.17-3.19
Ge 0.0000 0.5000 0.0000 [2 per cell]  6 Pm 3.00-3.03
Te 0.0000 0.5000 0.5000 [2 per cell]  6 Pm 3.17-3.30
Te 0.1684 0.0000 0.8347 [4 per cell]  6 Pm 3.18-3.30
Pb 0.1665 0.0000 0.3327 [4 per cell]  6 Pm 3.15-3.17

Properties
Size of the total moment, μB per formula unit: 0.000
Formation energy (no corrections), eV per atom: -1.079

The following is a DFT calculation (GGA-PBE) of a relaxed structure of Pm4GeTe2Pb.

Cell: 7.7284 4.4219 7.7499 Å, 90.00 109.14 90.00°
Last column: nearest neighbours and their distance in Å.
Space group P2/m (No. 10)
Asymmetric unit:
Pm 0.2326 0.0000 0.2285 [2 per cell]  2 Ge 3.03, 1 Pb 3.13, 3 Te 3.18-3.28
Pm 0.2432 0.5000 0.7626 [2 per cell]  1 Ge 3.03, 2 Pb 3.13, 3 Te 3.17-3.28
Ge 0.0000 0.5000 0.0000 [1 per cell]  6 Pm 3.03
Te 0.0000 0.0000 0.5000 [1 per cell]  6 Pm 3.17-3.18
Te 0.5000 0.5000 0.5000 [1 per cell]  6 Pm 3.28
Pb 0.5000 0.0000 0.0000 [1 per cell]  6 Pm 3.13

Properties
Size of the total moment, μB per formula unit: 0.000
Formation energy (no corrections), eV per atom: -1.107